First-principles (PBEsol) data for Co2Br after structural relaxation, as listed in the Alexandria database.

a b c (Å): 3.0633 5.7619 6.2086
angles (deg): 117.61 90.00 105.42
Last column: magnetic moment on the atom in μB.
Sites, in units of the cell vectors:
Co1 0.7464 0.4928 0.3057  1.75
Co2 0.2536 0.5072 0.6943  1.75
Co3 0.6656 0.3312 0.8680  1.85
Co4 0.3344 0.6688 0.1320  1.85
Br1 0.9396 0.8792 0.7058  0.13
Br2 0.0604 0.1208 0.2942  0.13

Calculated values
Fermi-level density of states: 1.128 states/eV/atom
E_form (uncorrected): 0.51 eV per atom

---

First-principles (PBEsol) data for CoBr2 after structural relaxation, as listed in the Alexandria database.

a b c (Å): 3.3595 7.4426 8.2282
angles (deg): 128.46 101.78 90.00
Last column: magnetic moment on the atom in μB.
Sites, in units of the cell vectors:
Br1 0.8538 0.9903 0.7075  0.08
Br2 0.1462 0.0097 0.2925  0.08
Br3 0.8910 0.5994 0.7820  0.08
Co1 0.4874 0.1329 0.9747  1.75
Br4 0.1090 0.4006 0.2180  0.08
Co2 0.5126 0.8671 0.0253  1.75

Calculated values
Fermi-level density of states: 0.388 states/eV/atom
E_form (uncorrected): -0.14 eV per atom

---

First-principles (PBEsol) data for CrCoBr2 after structural relaxation, as listed in the Alexandria database.

a b c (Å): 3.6180 3.6180 8.0728
angles (deg): 77.05 77.05 60.00
Last column: magnetic moment on the atom in μB.
Sites, in units of the cell vectors:
Br1 0.8932 0.8932 0.3204  0.08
Br2 0.1068 0.1068 0.6796  0.08
Cr1 0.0000 0.0000 0.0000  4.00
Co1 0.5000 0.5000 0.5000  1.90

Calculated values
Fermi-level density of states: 1.490 states/eV/atom
E_form (uncorrected): 0.42 eV per atom

---

First-principles (PBEsol) data for CrCoBr2 after structural relaxation, as listed in the Alexandria database.

a b c (Å): 4.7474 4.7474 4.7474
angles (deg): 60.00 60.00 60.00
Last column: magnetic moment on the atom in μB.
Sites, in units of the cell vectors:
Cr1 0.2500 0.2500 0.2500  3.78
Br1 0.0000 0.0000 0.0000  0.02
Co1 0.5000 0.5000 0.5000  1.83
Br2 0.7500 0.7500 0.7500  0.12

Calculated values
Fermi-level density of states: 1.367 states/eV/atom
E_form (uncorrected): 1.04 eV per atom

---

First-principles (PBEsol) data for CrCo2Br after structural relaxation, as listed in the Alexandria database.

a b c (Å): 4.0760 4.0751 4.0760
angles (deg): 59.99 90.00 120.01
Last column: magnetic moment on the atom in μB.
Sites, in units of the cell vectors:
Br1 0.7500 0.5000 0.7500  0.04
Cr1 0.5000 0.0000 0.5000  -0.07
Co1 0.0000 0.0000 0.0000  1.16
Co2 0.2500 0.5000 0.2500  0.77

Calculated values
Fermi-level density of states: 1.425 states/eV/atom
E_form (uncorrected): 0.82 eV per atom

---

First-principles (PBEsol) data for CrCo2Br after structural relaxation, as listed in the Alexandria database.

a b c (Å): 3.7194 3.7194 4.4788
angles (deg): 114.53 114.53 90.00
Last column: magnetic moment on the atom in μB.
Sites, in units of the cell vectors:
Co1 0.2500 0.7500 0.5000  -0.61
Co2 0.7500 0.2500 0.5000  -0.61
Cr1 0.5000 0.5000 0.0000  2.64
Br1 0.0000 0.0000 0.0000  -0.01

Calculated values
Fermi-level density of states: 0.953 states/eV/atom
E_form (uncorrected): 0.83 eV per atom

---

First-principles (PBEsol) data for CrCo2Br after structural relaxation, as listed in the Alexandria database.

a b c (Å): 3.0240 4.0995 4.0995
angles (deg): 90.00 90.00 90.00
Last column: magnetic moment on the atom in μB.
Sites, in units of the cell vectors:
Cr1 0.5000 0.5000 0.5000  2.60
Co1 0.0000 0.5000 0.0000  1.07
Br1 0.5000 0.0000 0.0000  0.05
Co2 0.0000 0.0000 0.5000  1.07

Calculated values
Fermi-level density of states: 0.941 states/eV/atom
E_form (uncorrected): 0.80 eV per atom

---

First-principles (PBEsol) data for CrCo2Br after structural relaxation, as listed in the Alexandria database.

a b c (Å): 2.8205 4.1352 4.2219
angles (deg): 90.00 90.00 90.00
Last column: magnetic moment on the atom in μB.
Sites, in units of the cell vectors:
Co1 0.0000 0.0000 0.0000  1.16
Co2 0.5000 0.0000 0.5000  0.93
Br1 0.0000 0.5000 0.5000  -0.01
Cr1 0.5000 0.5000 0.0000  1.61

Calculated values
Fermi-level density of states: 1.724 states/eV/atom
E_form (uncorrected): 0.79 eV per atom